# 1
# Er6Tl5Cu, optimized geometry, DFT PBE
# calculated volume: 667 Å³ per cell
# formation energy: -2.3 eV per formula unit
data_Er6Tl5Cu
_chemical_formula_sum 'Er12 Tl10 Cu2'
_cell_length_a 6.4103
_cell_length_b 11.2715
_cell_length_c 9.5132
_cell_angle_alpha 90.00
_cell_angle_beta 104.15
_cell_angle_gamma 90.00
_space_group_name_H-M_alt 'C 1 2/m 1'
_space_group_IT_number 12
_space_group_name_Hall '-C 2y'
loop_
_atom_site_label
_atom_site_fract_x
_atom_site_fract_y
_atom_site_fract_z
_atom_site_occupancy
Er1 0.2292 0.1596 0.2321 1
Er2 0.2344 0.0000 0.7425 1
Tl1 0.0000 0.1836 0.5000 1
Tl2 0.0000 0.3500 0.0000 1
Tl3 0.0000 0.5000 0.5000 1
Cu1 0.0000 0.0000 0.0000 1

***

# 2
# NdTlCd, optimized geometry, DFT PBE
# calculated volume: 365 Å³ per cell
# formation energy: -0.7 eV per formula unit
data_NdTlCd
_chemical_formula_sum 'Nd4 Tl4 Cd4'
_cell_length_a 7.1456
_cell_length_b 7.1456
_cell_length_c 7.1456
_cell_angle_alpha 90.00
_cell_angle_beta 90.00
_cell_angle_gamma 90.00
_space_group_name_H-M_alt 'F -4 3 m'
_space_group_IT_number 216
_space_group_name_Hall 'F -4 2 3'
loop_
_atom_site_label
_atom_site_fract_x
_atom_site_fract_y
_atom_site_fract_z
_atom_site_occupancy
Nd1 0.0000 0.0000 0.0000 1
Tl1 0.2500 0.2500 0.2500 1
Cd1 0.0000 0.0000 0.5000 1

***

# 3
# Sr2TcBi2, optimized geometry, DFT PBE
# offset from the most stable computed form: 719 kJ/mol of formula units
# calculated volume: 229 Å³ per cell
# formation energy: 6.8 eV per formula unit
data_Sr2TcBi2
_chemical_formula_sum 'Sr2 Tc1 Bi2'
_cell_length_a 6.0009
_cell_length_b 6.0009
_cell_length_c 6.3456
_cell_angle_alpha 90.00
_cell_angle_beta 90.00
_cell_angle_gamma 90.00
_space_group_name_H-M_alt 'P 4/m m m'
_space_group_IT_number 123
_space_group_name_Hall '-P 4 2'
loop_
_atom_site_label
_atom_site_fract_x
_atom_site_fract_y
_atom_site_fract_z
_atom_site_occupancy
Sr1 0.0000 0.0000 0.0000 1
Sr2 0.0000 0.0000 0.5000 1
Tc1 0.5000 0.5000 0.0000 1
Bi1 0.0000 0.5000 0.5000 1

***

# 4
# SrLa2Hg, optimized geometry, DFT PBE
# calculated volume: 461 Å³ per cell
# formation energy: -0.4 eV per formula unit
data_SrLa2Hg
_chemical_formula_sum 'Sr3 La6 Hg3'
_cell_length_a 3.9355
_cell_length_b 3.9355
_cell_length_c 34.3944
_cell_angle_alpha 90.00
_cell_angle_beta 90.00
_cell_angle_gamma 120.00
_space_group_name_H-M_alt 'R -3 m'
_space_group_IT_number 166
_space_group_name_Hall '-R 3 2"'
loop_
_atom_site_label
_atom_site_fract_x
_atom_site_fract_y
_atom_site_fract_z
_atom_site_occupancy
Sr1 0.0000 0.0000 0.0000 1
La1 0.0000 0.0000 0.2357 1
Hg1 0.0000 0.0000 0.5000 1

***

- formation energy of number 2 (NdTlCd)?
  -0.7 eV per formula unit

***

- Among the records above, which one has the lowest calculated volume?
  Sr2TcBi2

***

- Look up the calculated volume of the second one.
  365 Å³ per cell

***

What did the third record say?
# Sr2TcBi2, optimized geometry, DFT PBE
# offset from the most stable computed form: 719 kJ/mol of formula units
# calculated volume: 229 Å³ per cell
# formation energy: 6.8 eV per formula unit
data_Sr2TcBi2
_chemical_formula_sum 'Sr2 Tc1 Bi2'
_cell_length_a 6.0009
_cell_length_b 6.0009
_cell_length_c 6.3456
_cell_angle_alpha 90.00
_cell_angle_beta 90.00
_cell_angle_gamma 90.00
_space_group_name_H-M_alt 'P 4/m m m'
_space_group_IT_number 123
_space_group_name_Hall '-P 4 2'
loop_
_atom_site_label
_atom_site_fract_x
_atom_site_fract_y
_atom_site_fract_z
_atom_site_occupancy
Sr1 0.0000 0.0000 0.0000 1
Sr2 0.0000 0.0000 0.5000 1
Tc1 0.5000 0.5000 0.0000 1
Bi1 0.0000 0.5000 0.5000 1